NaIr3Pd | GGA-PBE | optimized geometry

abc: 4.8346 4.8346 4.8346
angles: 90.00 90.00 90.00
With the nearest neighbours (Å) after each atom.
Positions (direct):
1 Ir 0.0000 0.5000 0.0000  2 Pd 2.42
2 Ir 0.5000 0.0000 0.0000  2 Pd 2.42
3 Ir 0.0000 0.0000 0.5000  2 Pd 2.42
4 Pd 0.0000 0.0000 0.0000  6 Ir 2.42
5 Na 0.5000 0.5000 0.5000  12 Ir 3.42

Summary:
As for the energy above the lowest structure with this stoichiometry: 0 meV per atom. Its total DFT energy (no corrections) is -4.820 eV/atom. Its space group is Pm-3m, No. 221.


NaIr3Pd | GGA-PBE | optimized geometry

abc: 4.4607 4.4607 4.4607
angles: 90.00 90.00 90.00
With the nearest neighbours (Å) after each atom.
Positions (direct):
1 Ir 0.0000 0.0000 0.5000  2 Na 2.23
2 Ir 0.5000 0.0000 0.0000  2 Na 2.23
3 Ir 0.0000 0.5000 0.0000  2 Na 2.23
4 Na 0.0000 0.0000 0.0000  6 Ir 2.23
5 Pd 0.5000 0.5000 0.5000  12 Ir 3.15

Summary:
As for the energy above the lowest structure with this stoichiometry: 557 meV per atom. Its total DFT energy (no corrections) is -4.262 eV/atom. Its space group is Pm-3m, No. 221.


The evaluated E_form for the records listed, in turn: 1799; 2357 meV/atom.